Here is crystalline Rb2Ca2OsO6 at its relaxed geometry from Alexandria via LeMat-Bulk. Energies are from PBE.

Computed properties:
- uncorrected energy (eV/atom) = -6.16
- formation energy from raw total energies (eV/atom) = -1.89
- density (g/cm³) = 4.667

The structure in POSCAR format:
```
Rb2Ca2OsO6
1.0
2.9415 -4.9625 0.0000
2.9415 4.9625 0.0000
-1.9531 0.0000 6.5488
Rb Ca Os O
2 2 1 6
direct
0.1699 0.8301 0.0000 Rb
0.8301 0.1699 0.0000 Rb
0.3362 0.6638 0.5000 Ca
0.6638 0.3362 0.5000 Ca
0.0000 0.0000 0.5000 Os
0.0520 0.3385 0.6661 O
0.2236 0.2236 0.3314 O
0.3385 0.0520 0.6661 O
0.6615 0.9480 0.3339 O
0.7764 0.7764 0.6686 O
0.9480 0.6615 0.3339 O
```